No. 1
Ca2ZrOs (PBE-GGA, optimized geometry); total magnetic moment = 0.000 μB per cell; mass density = 4.5 g/cm³; E_tot = -5.370 eV/atom; energy relative to the lowest polymorph listed for this composition = 579 meV per atom; energy relative to the elements = 0.5754 eV per atom; crystal system = tetragonal
1.0
-5.1655 5.1655 2.4992
5.1655 -5.1655 2.4992
5.1655 5.1655 -2.4992
Ca Zr Os
4 2 2
Direct
0.3750 0.2383 0.3633
0.7617 0.1250 0.1367
0.8750 0.0117 0.6367
0.9883 0.6250 0.8633
0.2500 0.7500 0.5000
0.5000 0.5000 0.0000
0.0000 0.0000 0.0000
0.7500 0.2500 0.5000

---

No. 2
CaZr2Os (PBE-GGA, optimized geometry); total magnetic moment = 0.000 μB per cell; mass density = 8.3 g/cm³; E_tot = -7.207 eV/atom; energy relative to the lowest polymorph listed for this composition = 391 meV per atom; energy relative to the elements = 0.3747 eV per atom; crystal system = monoclinic
1.0
3.0440 -4.9061 0.0000
3.0440 4.9061 0.0000
-1.1317 0.0000 2.7811
Ca Zr Os
1 2 1
Direct
0.0000 0.0000 0.0000
0.0000 0.5000 0.5000
0.5000 0.0000 0.5000
0.5000 0.5000 0.0000

---

No. 3
Ca2ZrOs (PBE-GGA, optimized geometry); total magnetic moment = 0.000 μB per cell; mass density = 6.7 g/cm³; E_tot = -5.388 eV/atom; energy relative to the lowest polymorph listed for this composition = 560 meV per atom; energy relative to the elements = 0.5571 eV per atom; crystal system = monoclinic
1.0
2.9113 -5.2166 0.0000
2.9113 5.2166 0.0000
-0.5301 0.0000 2.9379
Ca Zr Os
2 1 1
Direct
0.0000 0.5000 0.0000
0.5000 0.0000 0.0000
0.0000 0.0000 0.5000
0.5000 0.5000 0.5000

---

No. 4
Ca3ZrOs (PBE-GGA, optimized geometry); total magnetic moment = 2.963 μB per cell; mass density = 4.1 g/cm³; E_tot = -4.279 eV/atom; energy relative to the lowest polymorph listed for this composition = 0 meV per atom; energy relative to the elements = 0.8778 eV per atom; crystal system = cubic
1.0
5.4708 0.0000 0.0000
0.0000 5.4708 0.0000
0.0000 0.0000 5.4708
Ca Zr Os
3 1 1
Direct
0.0000 0.0000 0.5000
0.0000 0.5000 0.0000
0.5000 0.0000 0.0000
0.5000 0.5000 0.5000
0.0000 0.0000 0.0000

---

No. 5
Ca2ZrOs (PBE-GGA, optimized geometry); total magnetic moment = 0.000 μB per cell; mass density = 5.7 g/cm³; E_tot = -5.796 eV/atom; energy relative to the lowest polymorph listed for this composition = 152 meV per atom; energy relative to the elements = 0.1491 eV per atom; crystal system = orthorhombic
1.0
-1.8127 2.7732 5.1978
1.8127 -2.7732 5.1978
1.8127 2.7732 -5.1978
Ca Zr Os
2 1 1
Direct
0.0000 0.0000 0.0000
0.6998 0.1998 0.5000
0.3043 0.8043 0.5000
0.4722 0.4722 0.0000

---

No. 6
CaZrOs (PBE-GGA, optimized geometry); total magnetic moment = 0.000 μB per cell; mass density = 7.5 g/cm³; E_tot = -7.308 eV/atom; energy relative to the lowest polymorph listed for this composition = 57 meV per atom; energy relative to the elements = -0.0478 eV per atom; crystal system = tetragonal
1.0
-1.6680 1.6680 6.3723
1.6680 -1.6680 6.3723
1.6680 1.6680 -6.3723
Ca Zr Os
1 1 1
Direct
0.0000 0.0000 0.0000
0.7384 0.7384 0.0000
0.3427 0.3427 0.0000

---

No. 7
CaZrOs (PBE-GGA, optimized geometry); total magnetic moment = 0.000 μB per cell; mass density = 6.8 g/cm³; E_tot = -6.966 eV/atom; energy relative to the lowest polymorph listed for this composition = 399 meV per atom; energy relative to the elements = 0.2936 eV per atom; crystal system = trigonal
1.0
3.6881 0.0000 0.0000
-1.8440 3.1940 0.0000
0.0000 0.0000 6.6616
Ca Zr Os
1 1 1
Direct
0.0000 0.0000 0.0000
0.6667 0.3333 0.5263
0.3333 0.6667 0.3081

---

No. 8
Ca3ZrOs (PBE-GGA, optimized geometry); total magnetic moment = 4.136 μB per cell; mass density = 4.2 g/cm³; E_tot = -3.265 eV/atom; energy relative to the lowest polymorph listed for this composition = 1013 meV per atom; energy relative to the elements = 1.8911 eV per atom; crystal system = cubic
1.0
5.4309 0.0000 0.0000
0.0000 5.4309 0.0000
0.0000 0.0000 5.4309
Ca Zr Os
3 1 1
Direct
0.0000 0.0000 0.5000
0.0000 0.5000 0.0000
0.5000 0.0000 0.0000
0.0000 0.0000 0.0000
0.5000 0.5000 0.5000

---

No. 9
Ca2ZrOs (PBE-GGA, optimized geometry); total magnetic moment = 0.000 μB per cell; mass density = 6.8 g/cm³; E_tot = -5.634 eV/atom; energy relative to the lowest polymorph listed for this composition = 314 meV per atom; energy relative to the elements = 0.3108 eV per atom; crystal system = cubic
1.0
0.0000 3.5350 3.5350
3.5350 0.0000 3.5350
3.5350 3.5350 0.0000
Ca Zr Os
2 1 1
Direct
0.0000 0.0000 0.0000
0.2500 0.2500 0.2500
0.7500 0.7500 0.7500
0.5000 0.5000 0.5000

---

No. 10
Ca2ZrOs (PBE-GGA, optimized geometry); total magnetic moment = 0.000 μB per cell; mass density = 6.7 g/cm³; E_tot = -5.582 eV/atom; energy relative to the lowest polymorph listed for this composition = 366 meV per atom; energy relative to the elements = 0.3628 eV per atom; crystal system = orthorhombic
1.0
4.1200 0.0000 0.0000
0.0000 4.1302 0.0000
0.0000 0.0000 5.2545
Ca Zr Os
2 1 1
Direct
0.0000 0.0000 0.0000
0.5000 0.5000 0.0000
0.0000 0.5000 0.5000
0.5000 0.0000 0.5000

---

No. 11
Ca2ZrOs (PBE-GGA, optimized geometry); total magnetic moment = 0.613 μB per cell; mass density = 6.3 g/cm³; E_tot = -5.329 eV/atom; energy relative to the lowest polymorph listed for this composition = 619 meV per atom; energy relative to the elements = 0.6160 eV per atom; crystal system = trigonal
1.0
1.6072 0.9279 10.5823
-1.6072 0.9279 10.5823
0.0000 -1.8559 10.5823
Ca Zr Os
2 1 1
Direct
0.2364 0.2364 0.2364
0.7636 0.7636 0.7636
0.0000 0.0000 0.0000
0.5000 0.5000 0.5000

---

No. 12
CaZr4Os (PBE-GGA, optimized geometry); total magnetic moment = 0.000 μB per cell; mass density = 7.3 g/cm³; E_tot = -7.317 eV/atom; energy relative to the elements = 0.5874 eV per atom; crystal system = cubic
1.0
0.0000 4.0702 4.0702
4.0702 0.0000 4.0702
4.0702 4.0702 0.0000
Ca Zr Os
1 4 1
Direct
0.0000 0.0000 0.0000
0.3770 0.3770 0.3770
0.3770 0.3770 0.8690
0.3770 0.8690 0.3770
0.8690 0.3770 0.3770
0.7500 0.7500 0.7500